Li4Mn3NbV2P6O24 | GGA+U | relaxed

Summary:
* total magnetic moment: 22.000 Bohr magnetons per cell
* space-group type: P1
* DFT total energy: -293.272 eV/cell
* N(E_F): 0.01 states/eV/atom

abc: 8.668 8.783 8.790
angles: 59.81 59.88 60.22
Last column: magnetic moment on the atom in μB.
Fractional positions:
Li (0.251, 0.631, 0.847)  0.00
Li (0.699, 0.397, 0.060)  0.00
Li (0.420, 0.098, 0.751)  0.00
Li (0.079, 0.712, 0.393)  0.00
Mn (0.640, 0.650, 0.655)  4.67
Mn (0.840, 0.847, 0.860)  4.66
Mn (0.328, 0.314, 0.374)  4.65
Nb (0.128, 0.141, 0.187)  0.87
V (0.988, 0.006, 0.989)  2.75
V (0.499, 0.502, 0.493)  2.74
P (0.933, 0.560, 0.264)  0.02
P (0.539, 0.246, 0.955)  0.01
P (0.265, 0.960, 0.571)  0.01
P (0.781, 0.055, 0.414)  0.01
P (0.431, 0.747, 0.042)  0.01
P (0.064, 0.448, 0.766)  0.01
O (0.514, 0.300, 0.108)  0.02
O (0.359, 0.049, 0.599)  0.02
O (0.085, 0.530, 0.326)  0.03
O (0.909, 0.752, 0.106)  0.02
O (0.993, 0.403, 0.189)  0.02
O (0.748, 0.548, 0.429)  0.01
O (0.740, 0.107, 0.903)  0.01
O (0.503, 0.418, 0.780)  0.01
O (0.963, 0.005, 0.453)  0.00
O (0.393, 0.767, 0.549)  0.01
O (0.856, 0.148, 0.193)  0.00
O (0.570, 0.860, 0.912)  0.02
O (0.388, 0.155, 0.027)  0.00
O (0.093, 0.926, 0.752)  0.01
O (0.611, 0.202, 0.499)  0.01
O (0.217, 0.109, 0.391)  0.03
O (0.500, 0.581, 0.205)  0.01
O (0.225, 0.877, 0.129)  0.00
O (0.224, 0.466, 0.569)  0.01
O (0.051, 0.591, 0.826)  0.02
O (0.132, 0.237, 0.895)  0.00
O (0.869, 0.481, 0.773)  0.02
O (0.761, 0.870, 0.471)  0.01
O (0.414, 0.682, 0.919)  0.01